Record 1
! Pr2Au3 (PBE-GGA, relaxed); values from VASP
! Excess energy over the best structure of this formula in the dataset (meV/atom): 152
! Spin magnetization (Bohr magnetons per cell): 0.00
! DOS(E_F) (states/eV per cell): 16.258
! Calculated volume (Å³ per atom): 27.8
! ΔH_f (0 K) (eV per atom): -0.6083
&SYSTEM
  ibrav = 0, nat = 20, ntyp = 2
/
ATOMIC_SPECIES
Pr 140.91 Pr.upf
Au 196.97 Au.upf
CELL_PARAMETERS angstrom
-5.1776 5.1776 5.1776
5.1776 -5.1776 5.1776
5.1776 5.1776 -5.1776
ATOMIC_POSITIONS crystal
Pr 0.0000 0.0787 0.5000
Pr 0.0000 0.5787 0.5000
Pr 0.0787 0.5000 0.0000
Pr 0.4213 0.4213 0.4213
Pr 0.5000 0.0000 0.0787
Pr 0.5000 0.0000 0.5787
Pr 0.5787 0.5000 0.0000
Pr 0.9213 0.9213 0.9213
Au 0.0101 0.2500 0.2601
Au 0.2399 0.4899 0.7500
Au 0.2500 0.2601 0.0101
Au 0.2500 0.9899 0.7399
Au 0.2601 0.0101 0.2500
Au 0.4899 0.7500 0.2399
Au 0.5101 0.7601 0.7500
Au 0.7399 0.2500 0.9899
Au 0.7500 0.2399 0.4899
Au 0.7500 0.5101 0.7601
Au 0.7601 0.7500 0.5101
Au 0.9899 0.7399 0.2500

---

Record 2
! PrAu (PBE-GGA, relaxed); values from VASP
! Spin magnetization (Bohr magnetons per cell): 0.00
! DOS(E_F) (states/eV per cell): 1.571
! Calculated volume (Å³ per atom): 26.2
! ΔH_f (0 K) (eV per atom): -0.7468
&SYSTEM
  ibrav = 0, nat = 2, ntyp = 2
/
ATOMIC_SPECIES
Pr 140.91 Pr.upf
Au 196.97 Au.upf
CELL_PARAMETERS angstrom
3.7436 0.0000 0.0000
0.0000 3.7436 0.0000
0.0000 0.0000 3.7436
ATOMIC_POSITIONS crystal
Pr 0.0000 0.0000 0.0000
Au 0.5000 0.5000 0.5000

---

Record 3
! PrAu (PBE-GGA, relaxed); values from VASP
! Spin magnetization (Bohr magnetons per cell): 0.00
! DOS(E_F) (states/eV per cell): 1.809
! Calculated volume (Å³ per atom): 27.0
! ΔH_f (0 K) (eV per atom): -0.7925
&SYSTEM
  ibrav = 0, nat = 8, ntyp = 2
/
ATOMIC_SPECIES
Pr 140.91 Pr.upf
Au 196.97 Au.upf
CELL_PARAMETERS angstrom
7.5606 0.0000 0.0000
0.0000 4.8892 0.0000
0.0000 0.0000 5.8536
ATOMIC_POSITIONS crystal
Pr 0.1860 0.2500 0.1447
Pr 0.3140 0.7500 0.6447
Pr 0.6860 0.2500 0.3553
Pr 0.8140 0.7500 0.8553
Au 0.0399 0.2500 0.6497
Au 0.4601 0.7500 0.1497
Au 0.5399 0.2500 0.8503
Au 0.9601 0.7500 0.3503

---

Record 4
! Pr6Au5 (PBE-GGA, relaxed); values from VASP
! Spin magnetization (Bohr magnetons per cell): 0.00
! DOS(E_F) (states/eV per cell): 10.829
! Calculated volume (Å³ per atom): 28.1
! ΔH_f (0 K) (eV per atom): -0.6435
&SYSTEM
  ibrav = 0, nat = 11, ntyp = 2
/
ATOMIC_SPECIES
Pr 140.91 Pr.upf
Au 196.97 Au.upf
CELL_PARAMETERS angstrom
-2.6288 3.7377 7.8725
2.6288 -3.7377 7.8725
2.6288 3.7377 -7.8725
ATOMIC_POSITIONS crystal
Pr 0.0833 0.3339 0.7494
Pr 0.2487 0.0000 0.2487
Pr 0.4155 0.6661 0.7494
Pr 0.5845 0.3339 0.2506
Pr 0.7513 0.0000 0.7513
Pr 0.9167 0.6661 0.2506
Au 0.0000 0.5000 0.5000
Au 0.1684 0.1684 0.0000
Au 0.3390 0.8390 0.5000
Au 0.6610 0.1610 0.5000
Au 0.8316 0.8316 0.0000

---

Record 5
! Pr2Au3 (PBE-GGA, relaxed); values from VASP
! Excess energy over the best structure of this formula in the dataset (meV/atom): 0
! Spin magnetization (Bohr magnetons per cell): 0.00
! DOS(E_F) (states/eV per cell): 7.237
! Calculated volume (Å³ per atom): 25.5
! ΔH_f (0 K) (eV per atom): -0.7602
&SYSTEM
  ibrav = 0, nat = 10, ntyp = 2
/
ATOMIC_SPECIES
Pr 140.91 Pr.upf
Au 196.97 Au.upf
CELL_PARAMETERS angstrom
1.8928 -14.2942 0.0000
1.8928 14.2942 0.0000
0.0000 0.0000 4.7167
ATOMIC_POSITIONS crystal
Pr 0.0713 0.9287 0.7500
Pr 0.2045 0.7955 0.2500
Pr 0.7955 0.2045 0.7500
Pr 0.9287 0.0713 0.2500
Au 0.3190 0.6810 0.2500
Au 0.3801 0.6199 0.7500
Au 0.4759 0.5241 0.7500
Au 0.5241 0.4759 0.2500
Au 0.6199 0.3801 0.2500
Au 0.6810 0.3190 0.7500

---

Record 6
! PrAu4 (PBE-GGA, relaxed); values from VASP
! Spin magnetization (Bohr magnetons per cell): 0.00
! DOS(E_F) (states/eV per cell): 2.077
! Calculated volume (Å³ per atom): 35.7
! ΔH_f (0 K) (eV per atom): 0.7031
&SYSTEM
  ibrav = 0, nat = 5, ntyp = 2
/
ATOMIC_SPECIES
Pr 140.91 Pr.upf
Au 196.97 Au.upf
CELL_PARAMETERS angstrom
5.6287 0.0000 0.0000
0.0000 5.6287 0.0000
0.0000 0.0000 5.6287
ATOMIC_POSITIONS crystal
Pr 0.0000 0.0000 0.0000
Au 0.0000 0.0000 0.5000
Au 0.0000 0.5000 0.0000
Au 0.5000 0.0000 0.0000
Au 0.5000 0.5000 0.5000

---

Record 7
! Pr3Au2 (PBE-GGA, relaxed); values from VASP
! Excess energy over the best structure of this formula in the dataset (meV/atom): 32
! Spin magnetization (Bohr magnetons per cell): 0.01
! DOS(E_F) (states/eV per cell): 9.699
! Calculated volume (Å³ per atom): 28.5
! ΔH_f (0 K) (eV per atom): -0.5897
&SYSTEM
  ibrav = 0, nat = 10, ntyp = 2
/
ATOMIC_SPECIES
Pr 140.91 Pr.upf
Au 196.97 Au.upf
CELL_PARAMETERS angstrom
3.7464 0.0000 0.0000
0.0000 3.7464 0.0000
0.0000 0.0000 20.2712
ATOMIC_POSITIONS crystal
Pr 0.0000 0.0000 0.0000
Pr 0.0000 0.0000 0.1828
Pr 0.0000 0.0000 0.8172
Pr 0.5000 0.5000 0.3172
Pr 0.5000 0.5000 0.5000
Pr 0.5000 0.5000 0.6828
Au 0.0000 0.0000 0.4072
Au 0.0000 0.0000 0.5928
Au 0.5000 0.5000 0.0928
Au 0.5000 0.5000 0.9072

---

Record 8
! Pr4Au (PBE-GGA, relaxed); values from VASP
! Excess energy over the best structure of this formula in the dataset (meV/atom): 0
! Spin magnetization (Bohr magnetons per cell): 0.00
! DOS(E_F) (states/eV per cell): 11.173
! Calculated volume (Å³ per atom): 32.6
! ΔH_f (0 K) (eV per atom): -0.2242
&SYSTEM
  ibrav = 0, nat = 10, ntyp = 2
/
ATOMIC_SPECIES
Pr 140.91 Pr.upf
Au 196.97 Au.upf
CELL_PARAMETERS angstrom
0.0000 7.4300 3.4203
6.4067 0.0000 3.4203
6.4067 7.4300 0.0000
ATOMIC_POSITIONS crystal
Pr 0.0360 0.9640 0.1835
Pr 0.0573 0.5136 0.8290
Pr 0.0665 0.4335 0.2140
Pr 0.4210 0.6499 0.1927
Pr 0.4335 0.0665 0.2860
Pr 0.5136 0.0573 0.6001
Pr 0.6499 0.4210 0.7364
Pr 0.9640 0.0360 0.8165
Au 0.6041 0.6041 0.3959
Au 0.8541 0.8541 0.6459

---

Record 9
! PrPt4Au (PBE-GGA, relaxed); values from VASP
! Spin magnetization (Bohr magnetons per cell): 0.00
! DOS(E_F) (states/eV per cell): 6.211
! Calculated volume (Å³ per atom): 18.7
! ΔH_f (0 K) (eV per atom): -0.6917
&SYSTEM
  ibrav = 0, nat = 6, ntyp = 3
/
ATOMIC_SPECIES
Pr 140.91 Pr.upf
Pt 195.08 Pt.upf
Au 196.97 Au.upf
CELL_PARAMETERS angstrom
0.0000 3.8301 3.8301
3.8301 0.0000 3.8301
3.8301 3.8301 0.0000
ATOMIC_POSITIONS crystal
Pr 0.0000 0.0000 0.0000
Pt 0.3756 0.3756 0.3756
Pt 0.3756 0.3756 0.8731
Pt 0.3756 0.8731 0.3756
Pt 0.8731 0.3756 0.3756
Au 0.7500 0.7500 0.7500

---

Record 10
! Pr4PtAu (PBE-GGA, relaxed); values from VASP
! Excess energy over the best structure of this formula in the dataset (meV/atom): 25
! Spin magnetization (Bohr magnetons per cell): 0.00
! DOS(E_F) (states/eV per cell): 15.107
! Calculated volume (Å³ per atom): 30.2
! ΔH_f (0 K) (eV per atom): -0.5818
&SYSTEM
  ibrav = 0, nat = 12, ntyp = 3
/
ATOMIC_SPECIES
Pr 140.91 Pr.upf
Pt 195.08 Pt.upf
Au 196.97 Au.upf
CELL_PARAMETERS angstrom
4.5912 -7.0289 0.0000
4.5912 7.0289 0.0000
-3.4592 0.0000 5.6240
ATOMIC_POSITIONS crystal
Pr 0.0601 0.6926 0.9091
Pr 0.2234 0.3566 0.7096
Pr 0.3074 0.9399 0.5909
Pr 0.3566 0.2234 0.2096
Pr 0.6434 0.7766 0.7904
Pr 0.6926 0.0601 0.4091
Pr 0.7766 0.6434 0.2904
Pr 0.9399 0.3074 0.0909
Pt 0.0035 0.9965 0.7500
Pt 0.9965 0.0035 0.2500
Au 0.3730 0.6270 0.2500
Au 0.6270 0.3730 0.7500

---

Record 11
! PrPt4Au8 (PBE-GGA, relaxed); values from VASP
! Spin magnetization (Bohr magnetons per cell): 0.00
! DOS(E_F) (states/eV per cell): 5.649
! Calculated volume (Å³ per atom): 19.0
! ΔH_f (0 K) (eV per atom): -0.2502
&SYSTEM
  ibrav = 0, nat = 13, ntyp = 3
/
ATOMIC_SPECIES
Pr 140.91 Pr.upf
Pt 195.08 Pt.upf
Au 196.97 Au.upf
CELL_PARAMETERS angstrom
-4.6694 4.6694 2.8318
4.6694 -4.6694 2.8318
4.6694 4.6694 -2.8318
ATOMIC_POSITIONS crystal
Pr 0.0000 0.0000 0.0000
Pt 0.0000 0.0000 0.5000
Pt 0.0000 0.5000 0.0000
Pt 0.5000 0.0000 0.0000
Pt 0.5000 0.5000 0.5000
Au 0.0000 0.3361 0.3361
Au 0.0000 0.6639 0.6639
Au 0.2823 0.5000 0.7823
Au 0.3361 0.0000 0.3361
Au 0.5000 0.2823 0.7823
Au 0.5000 0.7177 0.2177
Au 0.6639 0.0000 0.6639
Au 0.7177 0.5000 0.2177

---

Record 12
! Pr2PtAu2 (PBE-GGA, relaxed); values from VASP
! Spin magnetization (Bohr magnetons per cell): 0.00
! DOS(E_F) (states/eV per cell): 6.127
! Calculated volume (Å³ per atom): 24.7
! ΔH_f (0 K) (eV per atom): -0.8806
&SYSTEM
  ibrav = 0, nat = 10, ntyp = 3
/
ATOMIC_SPECIES
Pr 140.91 Pr.upf
Pt 195.08 Pt.upf
Au 196.97 Au.upf
CELL_PARAMETERS angstrom
5.4158 -2.0609 0.0000
5.4158 2.0609 0.0000
-4.1775 0.0000 11.0428
ATOMIC_POSITIONS crystal
Pr 0.0086 0.0086 0.3398
Pr 0.1838 0.1838 0.1170
Pr 0.8162 0.8162 0.8830
Pr 0.9914 0.9914 0.6602
Pt 0.2985 0.2985 0.6936
Pt 0.7015 0.7015 0.3064
Au 0.3525 0.3525 0.4512
Au 0.4574 0.4574 0.1080
Au 0.5426 0.5426 0.8920
Au 0.6475 0.6475 0.5488

---

Record 13
! Pr8Pt2Au3 (PBE-GGA, relaxed); values from VASP
! Spin magnetization (Bohr magnetons per cell): 0.00
! DOS(E_F) (states/eV per cell): 14.078
! Calculated volume (Å³ per atom): 30.8
! ΔH_f (0 K) (eV per atom): -0.6020
&SYSTEM
  ibrav = 0, nat = 13, ntyp = 3
/
ATOMIC_SPECIES
Pr 140.91 Pr.upf
Pt 195.08 Pt.upf
Au 196.97 Au.upf
CELL_PARAMETERS angstrom
7.8446 -3.8456 0.0000
7.8446 3.8456 0.0000
-1.3382 0.0000 6.6470
ATOMIC_POSITIONS crystal
Pr 0.0753 0.0753 0.3256
Pr 0.1156 0.6146 0.1246
Pr 0.3245 0.3245 0.6146
Pr 0.3854 0.8844 0.8754
Pr 0.6146 0.1156 0.1246
Pr 0.6755 0.6755 0.3854
Pr 0.8844 0.3854 0.8754
Pr 0.9247 0.9247 0.6744
Pt 0.2332 0.2332 0.1808
Pt 0.7668 0.7668 0.8192
Au 0.3183 0.6817 0.5000
Au 0.5000 0.5000 0.0000
Au 0.6817 0.3183 0.5000

---

Record 14
! Pr2Pt3Au (PBE-GGA, relaxed); values from VASP
! Spin magnetization (Bohr magnetons per cell): 0.00
! DOS(E_F) (states/eV per cell): 7.955
! Calculated volume (Å³ per atom): 23.1
! ΔH_f (0 K) (eV per atom): -0.8708
&SYSTEM
  ibrav = 0, nat = 12, ntyp = 3
/
ATOMIC_SPECIES
Pr 140.91 Pr.upf
Pt 195.08 Pt.upf
Au 196.97 Au.upf
CELL_PARAMETERS angstrom
0.0000 4.8187 7.5599
3.8106 0.0000 7.5599
3.8106 4.8187 0.0000
ATOMIC_POSITIONS crystal
Pr 0.2477 0.7523 0.7523
Pr 0.2500 0.2500 0.2500
Pr 0.7500 0.7500 0.7500
Pr 0.7523 0.2477 0.2477
Pt 0.1568 0.1568 0.8432
Pt 0.1618 0.6634 0.3366
Pt 0.3366 0.8382 0.1618
Pt 0.6634 0.1618 0.8382
Pt 0.8382 0.3366 0.6634
Pt 0.8432 0.8432 0.1568
Au 0.3350 0.3350 0.6650
Au 0.6650 0.6650 0.3350

---

Record 15
! Pr8PtAu2 (PBE-GGA, relaxed); values from VASP
! Excess energy over the best structure of this formula in the dataset (meV/atom): 0
! Spin magnetization (Bohr magnetons per cell): 0.00
! DOS(E_F) (states/eV per cell): 10.063
! Calculated volume (Å³ per atom): 30.5
! ΔH_f (0 K) (eV per atom): -0.4664
&SYSTEM
  ibrav = 0, nat = 11, ntyp = 3
/
ATOMIC_SPECIES
Pr 140.91 Pr.upf
Pt 195.08 Pt.upf
Au 196.97 Au.upf
CELL_PARAMETERS angstrom
9.2133 -2.6048 0.0000
9.2133 2.6048 0.0000
-1.2511 0.0000 6.9957
ATOMIC_POSITIONS crystal
Pr 0.0265 0.0265 0.2774
Pr 0.2027 0.2027 0.8340
Pr 0.3390 0.3390 0.5270
Pr 0.4118 0.4118 0.0539
Pr 0.5882 0.5882 0.9461
Pr 0.6610 0.6610 0.4730
Pr 0.7973 0.7973 0.1660
Pr 0.9735 0.9735 0.7226
Pt 0.5000 0.5000 0.5000
Au 0.1908 0.1908 0.2471
Au 0.8092 0.8092 0.7529

---

Record 16
! Pr4Pt2Au (PBE-GGA, relaxed); values from VASP
! Spin magnetization (Bohr magnetons per cell): 0.00
! DOS(E_F) (states/eV per cell): 12.188
! Calculated volume (Å³ per atom): 30.3
! ΔH_f (0 K) (eV per atom): -0.7763
&SYSTEM
  ibrav = 0, nat = 14, ntyp = 3
/
ATOMIC_SPECIES
Pr 140.91 Pr.upf
Pt 195.08 Pt.upf
Au 196.97 Au.upf
CELL_PARAMETERS angstrom
-4.7339 4.7354 4.7303
4.7339 -4.7354 4.7303
4.7339 4.7354 -4.7303
ATOMIC_POSITIONS crystal
Pr 0.2022 0.2640 0.5619
Pr 0.2022 0.6403 0.9381
Pr 0.2640 0.2019 0.0620
Pr 0.3601 0.7981 0.5620
Pr 0.6399 0.2019 0.4380
Pr 0.7360 0.7981 0.9380
Pr 0.7978 0.3597 0.0619
Pr 0.7978 0.7360 0.4381
Pt 0.0000 0.5000 0.5000
Pt 0.5000 0.0000 0.0000
Pt 0.5000 0.5000 0.0000
Pt 0.5000 0.5000 0.5000
Au 0.1243 0.8743 0.2500
Au 0.8757 0.1257 0.7500

---

Record 17
! PrPt2Au4 (PBE-GGA, relaxed); values from VASP
! Excess energy over the best structure of this formula in the dataset (meV/atom): 521
! Spin magnetization (Bohr magnetons per cell): 0.00
! DOS(E_F) (states/eV per cell): 13.025
! Calculated volume (Å³ per atom): 26.6
! ΔH_f (0 K) (eV per atom): 0.0894
&SYSTEM
  ibrav = 0, nat = 14, ntyp = 3
/
ATOMIC_SPECIES
Pr 140.91 Pr.upf
Pt 195.08 Pt.upf
Au 196.97 Au.upf
CELL_PARAMETERS angstrom
8.4522 0.0000 0.0000
0.0000 8.4522 0.0000
0.0000 0.0000 5.2198
ATOMIC_POSITIONS crystal
Pr 0.0000 0.0000 0.0000
Pr 0.5000 0.5000 0.5000
Pt 0.0000 0.5000 0.2500
Pt 0.0000 0.5000 0.7500
Pt 0.5000 0.0000 0.2500
Pt 0.5000 0.0000 0.7500
Au 0.0000 0.2257 0.5000
Au 0.0000 0.7743 0.5000
Au 0.2257 0.0000 0.5000
Au 0.2743 0.5000 0.0000
Au 0.5000 0.2743 0.0000
Au 0.5000 0.7257 0.0000
Au 0.7257 0.5000 0.0000
Au 0.7743 0.0000 0.5000

---

Record 18
! Pr8Pt2Au (PBE-GGA, relaxed); values from VASP
! Spin magnetization (Bohr magnetons per cell): 0.00
! DOS(E_F) (states/eV per cell): 14.956
! Calculated volume (Å³ per atom): 31.7
! ΔH_f (0 K) (eV per atom): -0.4398
&SYSTEM
  ibrav = 0, nat = 11, ntyp = 3
/
ATOMIC_SPECIES
Pr 140.91 Pr.upf
Pt 195.08 Pt.upf
Au 196.97 Au.upf
CELL_PARAMETERS angstrom
4.3731 -6.6983 0.0000
4.3731 6.6983 0.0000
-1.8442 0.0000 5.9428
ATOMIC_POSITIONS crystal
Pr 0.0000 0.0000 0.0000
Pr 0.0331 0.2927 0.5888
Pr 0.1551 0.6012 0.1918
Pr 0.2927 0.0331 0.5888
Pr 0.4576 0.7179 0.8064
Pr 0.6012 0.1551 0.1918
Pr 0.7179 0.4576 0.8064
Pr 0.7375 0.7375 0.3775
Pt 0.0650 0.6832 0.6874
Pt 0.6832 0.0650 0.6874
Au 0.3664 0.3664 0.0248

---

Record 19
! Pr6PtAu5 (PBE-GGA, relaxed); values from VASP
! Spin magnetization (Bohr magnetons per cell): 0.00
! DOS(E_F) (states/eV per cell): 9.782
! Calculated volume (Å³ per atom): 25.8
! ΔH_f (0 K) (eV per atom): -0.7910
&SYSTEM
  ibrav = 0, nat = 12, ntyp = 3
/
ATOMIC_SPECIES
Pr 140.91 Pr.upf
Pt 195.08 Pt.upf
Au 196.97 Au.upf
CELL_PARAMETERS angstrom
-2.6357 3.7207 7.9068
2.6357 -3.7207 7.9068
2.6357 3.7207 -7.9068
ATOMIC_POSITIONS crystal
Pr 0.0829 0.3374 0.7455
Pr 0.2421 0.0000 0.2421
Pr 0.4081 0.6626 0.7455
Pr 0.5919 0.3374 0.2545
Pr 0.7579 0.0000 0.7579
Pr 0.9171 0.6626 0.2545
Pt 0.0000 0.5000 0.5000
Au 0.1756 0.1756 0.0000
Au 0.3341 0.8341 0.5000
Au 0.5000 0.5000 0.0000
Au 0.6659 0.1659 0.5000
Au 0.8244 0.8244 0.0000

---

Record 20
! Pr3Pt7Au2 (PBE-GGA, relaxed); values from VASP
! Spin magnetization (Bohr magnetons per cell): 0.00
! DOS(E_F) (states/eV per cell): 7.452
! Calculated volume (Å³ per atom): 20.0
! ΔH_f (0 K) (eV per atom): -0.8558
&SYSTEM
  ibrav = 0, nat = 12, ntyp = 3
/
ATOMIC_SPECIES
Pr 140.91 Pr.upf
Pt 195.08 Pt.upf
Au 196.97 Au.upf
CELL_PARAMETERS angstrom
2.7699 1.5992 9.0110
-2.7699 1.5992 9.0110
0.0000 -3.1984 9.0110
ATOMIC_POSITIONS crystal
Pr 0.0000 0.0000 0.0000
Pr 0.1396 0.1396 0.1396
Pr 0.8604 0.8604 0.8604
Pt 0.0823 0.5877 0.5877
Pt 0.4123 0.4123 0.9177
Pt 0.4123 0.9177 0.4123
Pt 0.5000 0.5000 0.5000
Pt 0.5877 0.0823 0.5877
Pt 0.5877 0.5877 0.0823
Pt 0.9177 0.4123 0.4123
Au 0.3334 0.3334 0.3334
Au 0.6666 0.6666 0.6666